# B2MoF (PBE+U, relaxed)
# Distance to the lowest polymorph of the same formula in meV per atom: 256
# Magnetization in μB/f.u.: 2.23
data_B2MoF
_cell_length_a 5.6086
_cell_length_b 5.6086
_cell_length_c 5.6086
_cell_angle_alpha 90.00
_cell_angle_beta 90.00
_cell_angle_gamma 90.00
_space_group_name_H-M_alt 'F m -3 m'
_space_group_IT_number 225
_space_group_name_Hall '-F 4 2 3'
loop_
_atom_site_label
_atom_site_fract_x
_atom_site_fract_y
_atom_site_fract_z
_atom_site_occupancy
B1 0.2500 0.2500 0.2500 1
Mo1 0.0000 0.0000 0.0000 1
F1 0.0000 0.0000 0.5000 1